## YCoW2 (PBE)

Data for crystalline YCoW2 at its relaxed geometry.

abc: 4.1193 2.8983 6.1230
angles: 76.87 90.00 90.00
Closest atoms and distances in Å follow each position.
Atoms (fractional coordinates):
Co  0.5000  0.7769  0.7985  3 W 2.53-2.63
W  0.0000  0.0007  0.9914  2 Co 2.53, 2 W 2.57
W  0.5000  0.2100  0.1995  2 W 2.57, 1 Co 2.63
Y  0.0000  0.5124  0.5107  2 Y 2.90, 4 Co 2.92-3.19, 6 W 2.98-3.20

Output
calculated formation energy	1.8	eV per formula unit
D(E_F)	3.6	states/eV per cell
SG	Pm
density	12.02	g cm⁻³
total DFT energy (no corrections)	-9.431	eV/atom
magnetic moment	0.38	μB/f.u.
offset from the most stable computed form	0.64	eV per formula unit